(1)
# TaCrOs PBEsol optimized geometry
data_TaCrOs
_cell_length_a 4.189
_cell_length_b 4.189
_cell_length_c 4.189
_cell_angle_alpha 60.00
_cell_angle_beta 60.00
_cell_angle_gamma 60.00
_space_group_name_H-M_alt 'P 1'
_space_group_IT_number 1
loop_
_space_group_symop_operation_xyz
'x,y,z'
loop_
_atom_site_label
_atom_site_type_symbol
_atom_site_fract_x
_atom_site_fract_y
_atom_site_fract_z
Ta1 Ta 0.000 0.000 0.000
Cr1 Cr 0.500 0.500 0.500
Os1 Os 0.750 0.750 0.750
# Calculated formation energy (eV per formula unit): 1.70
# Calculated total energy (eV/atom): -11.10
# Energy above the most stable polymorph in this dataset (kJ/mol of atoms): 0.00
# N(E_F) (states/eV per atom): 0.876
# Space-group type: F-43m

=====

(2)
# TaCr3Os PBEsol optimized geometry
data_TaCr3Os
_cell_length_a 4.325
_cell_length_b 4.325
_cell_length_c 4.325
_cell_angle_alpha 90.00
_cell_angle_beta 90.00
_cell_angle_gamma 90.00
_space_group_name_H-M_alt 'P 1'
_space_group_IT_number 1
loop_
_space_group_symop_operation_xyz
'x,y,z'
loop_
_atom_site_label
_atom_site_type_symbol
_atom_site_fract_x
_atom_site_fract_y
_atom_site_fract_z
Ta1 Ta 0.000 0.000 0.000
Cr1 Cr 0.000 0.000 0.500
Cr2 Cr 0.000 0.500 0.000
Cr3 Cr 0.500 0.000 0.000
Os1 Os 0.500 0.500 0.500
# Calculated formation energy (eV per formula unit): 11.37
# Calculated total energy (eV/atom): -8.82
# N(E_F) (states/eV per atom): 1.349
# Space-group type: Pm-3m

=====

(3)
# TaCr4Os PBEsol optimized geometry
data_TaCr4Os
_cell_length_a 4.754
_cell_length_b 4.754
_cell_length_c 4.754
_cell_angle_alpha 60.00
_cell_angle_beta 60.00
_cell_angle_gamma 60.00
_space_group_name_H-M_alt 'P 1'
_space_group_IT_number 1
loop_
_space_group_symop_operation_xyz
'x,y,z'
loop_
_atom_site_label
_atom_site_type_symbol
_atom_site_fract_x
_atom_site_fract_y
_atom_site_fract_z
Ta1 Ta 0.000 0.000 0.000
Cr1 Cr 0.120 0.627 0.627
Cr2 Cr 0.627 0.120 0.627
Cr3 Cr 0.627 0.627 0.120
Cr4 Cr 0.627 0.627 0.627
Os1 Os 0.250 0.250 0.250
# Calculated formation energy (eV per formula unit): -0.11
# Calculated total energy (eV/atom): -10.97
# N(E_F) (states/eV per atom): 1.654
# Space-group type: F-43m

=====

(4)
# TaCrOs PBEsol optimized geometry
data_TaCrOs
_cell_length_a 4.207
_cell_length_b 4.207
_cell_length_c 4.207
_cell_angle_alpha 60.00
_cell_angle_beta 60.00
_cell_angle_gamma 60.00
_space_group_name_H-M_alt 'P 1'
_space_group_IT_number 1
loop_
_space_group_symop_operation_xyz
'x,y,z'
loop_
_atom_site_label
_atom_site_type_symbol
_atom_site_fract_x
_atom_site_fract_y
_atom_site_fract_z
Ta1 Ta 0.000 0.000 0.000
Cr1 Cr 0.750 0.750 0.750
Os1 Os 0.250 0.250 0.250
# Calculated formation energy (eV per formula unit): 2.53
# Calculated total energy (eV/atom): -10.82
# Energy above the most stable polymorph in this dataset (kJ/mol of atoms): 26.88
# N(E_F) (states/eV per atom): 1.107
# Space-group type: F-43m

=====

(5)
# CrTcOs2 PBEsol optimized geometry
data_CrTcOs2
_cell_length_a 2.676
_cell_length_b 2.676
_cell_length_c 7.469
_cell_angle_alpha 90.00
_cell_angle_beta 90.00
_cell_angle_gamma 90.00
_space_group_name_H-M_alt 'P 1'
_space_group_IT_number 1
loop_
_space_group_symop_operation_xyz
'x,y,z'
loop_
_atom_site_label
_atom_site_type_symbol
_atom_site_fract_x
_atom_site_fract_y
_atom_site_fract_z
Cr1 Cr 0.000 0.000 0.000
Tc1 Tc 0.000 0.000 0.500
Os1 Os 0.500 0.500 0.239
Os2 Os 0.500 0.500 0.761
# Calculated formation energy (eV per formula unit): 0.34
# Calculated total energy (eV/atom): -11.40
# Energy above the most stable polymorph in this dataset (kJ/mol of atoms): 0.00
# N(E_F) (states/eV per atom): 1.115
# Space-group type: P4/mmm

=====

(6)
# CrTc2Os PBEsol optimized geometry
data_CrTc2Os
_cell_length_a 2.679
_cell_length_b 3.743
_cell_length_c 5.355
_cell_angle_alpha 90.00
_cell_angle_beta 90.00
_cell_angle_gamma 90.00
_space_group_name_H-M_alt 'P 1'
_space_group_IT_number 1
loop_
_space_group_symop_operation_xyz
'x,y,z'
loop_
_atom_site_label
_atom_site_type_symbol
_atom_site_fract_x
_atom_site_fract_y
_atom_site_fract_z
Cr1 Cr 0.000 0.000 0.000
Tc1 Tc 0.000 0.000 0.499
Tc2 Tc 0.500 0.500 0.755
Os1 Os 0.500 0.500 0.236
# Calculated formation energy (eV per formula unit): 0.48
# Calculated total energy (eV/atom): -11.13
# Energy above the most stable polymorph in this dataset (kJ/mol of atoms): 1.21
# N(E_F) (states/eV per atom): 1.090
# Space-group type: Pmm2

=====

(7)
# Cr2TcOs PBEsol optimized geometry
data_Cr2TcOs
_cell_length_a 4.893
_cell_length_b 4.893
_cell_length_c 4.893
_cell_angle_alpha 145.77
_cell_angle_beta 129.20
_cell_angle_gamma 62.69
_space_group_name_H-M_alt 'P 1'
_space_group_IT_number 1
loop_
_space_group_symop_operation_xyz
'x,y,z'
loop_
_atom_site_label
_atom_site_type_symbol
_atom_site_fract_x
_atom_site_fract_y
_atom_site_fract_z
Cr1 Cr 0.000 0.000 0.000
Cr2 Cr 0.789 0.289 0.500
Tc1 Tc 0.531 0.531 0.000
Os1 Os 0.259 0.759 0.500
# Calculated formation energy (eV per formula unit): 0.36
# Calculated total energy (eV/atom): -10.90
# N(E_F) (states/eV per atom): 0.875
# Space-group type: Imm2

=====

(8)
# CrTc2Os PBEsol optimized geometry
data_CrTc2Os
_cell_length_a 2.675
_cell_length_b 2.675
_cell_length_c 7.481
_cell_angle_alpha 90.00
_cell_angle_beta 90.00
_cell_angle_gamma 90.00
_space_group_name_H-M_alt 'P 1'
_space_group_IT_number 1
loop_
_space_group_symop_operation_xyz
'x,y,z'
loop_
_atom_site_label
_atom_site_type_symbol
_atom_site_fract_x
_atom_site_fract_y
_atom_site_fract_z
Cr1 Cr 0.000 0.000 0.000
Tc1 Tc 0.500 0.500 0.239
Tc2 Tc 0.500 0.500 0.761
Os1 Os 0.000 0.000 0.500
# Calculated formation energy (eV per formula unit): 0.59
# Calculated total energy (eV/atom): -11.10
# Energy above the most stable polymorph in this dataset (kJ/mol of atoms): 3.93
# N(E_F) (states/eV per atom): 1.076
# Space-group type: P4/mmm

=====

(9)
# CrTc2Os PBEsol optimized geometry
data_CrTc2Os
_cell_length_a 8.767
_cell_length_b 8.767
_cell_length_c 8.767
_cell_angle_alpha 17.61
_cell_angle_beta 17.61
_cell_angle_gamma 17.61
_space_group_name_H-M_alt 'P 1'
_space_group_IT_number 1
loop_
_space_group_symop_operation_xyz
'x,y,z'
loop_
_atom_site_label
_atom_site_type_symbol
_atom_site_fract_x
_atom_site_fract_y
_atom_site_fract_z
Cr1 Cr 0.000 0.000 0.000
Tc1 Tc 0.499 0.499 0.499
Tc2 Tc 0.749 0.749 0.749
Os1 Os 0.255 0.255 0.255
# Calculated formation energy (eV per formula unit): 0.58
# Calculated total energy (eV/atom): -11.10
# Energy above the most stable polymorph in this dataset (kJ/mol of atoms): 3.70
# N(E_F) (states/eV per atom): 0.968
# Space-group type: R3m

=====

(10)
# CrTc2Os PBEsol optimized geometry
data_CrTc2Os
_cell_length_a 3.764
_cell_length_b 3.764
_cell_length_c 3.789
_cell_angle_alpha 90.00
_cell_angle_beta 90.00
_cell_angle_gamma 90.00
_space_group_name_H-M_alt 'P 1'
_space_group_IT_number 1
loop_
_space_group_symop_operation_xyz
'x,y,z'
loop_
_atom_site_label
_atom_site_type_symbol
_atom_site_fract_x
_atom_site_fract_y
_atom_site_fract_z
Cr1 Cr 0.000 0.000 0.000
Tc1 Tc 0.000 0.500 0.500
Tc2 Tc 0.500 0.000 0.500
Os1 Os 0.500 0.500 0.000
# Calculated formation energy (eV per formula unit): 0.46
# Calculated total energy (eV/atom): -11.13
# Energy above the most stable polymorph in this dataset (kJ/mol of atoms): 0.78
# N(E_F) (states/eV per atom): 1.197
# Space-group type: P4/mmm

=====

(11)
# CrTcOs PBEsol optimized geometry
data_CrTcOs
_cell_length_a 4.084
_cell_length_b 4.084
_cell_length_c 4.084
_cell_angle_alpha 60.00
_cell_angle_beta 60.00
_cell_angle_gamma 60.00
_space_group_name_H-M_alt 'P 1'
_space_group_IT_number 1
loop_
_space_group_symop_operation_xyz
'x,y,z'
loop_
_atom_site_label
_atom_site_type_symbol
_atom_site_fract_x
_atom_site_fract_y
_atom_site_fract_z
Cr1 Cr 0.000 0.000 0.000
Tc1 Tc 0.500 0.500 0.500
Os1 Os 0.750 0.750 0.750
# Calculated formation energy (eV per formula unit): 2.22
# Calculated total energy (eV/atom): -10.50
# Energy above the most stable polymorph in this dataset (kJ/mol of atoms): 0.00
# N(E_F) (states/eV per atom): 1.310
# Space-group type: F-43m

=====

(12)
# CrTcOs2 PBEsol optimized geometry
data_CrTcOs2
_cell_length_a 4.607
_cell_length_b 4.607
_cell_length_c 4.607
_cell_angle_alpha 131.54
_cell_angle_beta 131.54
_cell_angle_gamma 70.95
_space_group_name_H-M_alt 'P 1'
_space_group_IT_number 1
loop_
_space_group_symop_operation_xyz
'x,y,z'
loop_
_atom_site_label
_atom_site_type_symbol
_atom_site_fract_x
_atom_site_fract_y
_atom_site_fract_z
Cr1 Cr 0.000 0.000 0.000
Tc1 Tc 0.500 0.500 0.000
Os1 Os 0.250 0.750 0.500
Os2 Os 0.750 0.250 0.500
# Calculated formation energy (eV per formula unit): 0.38
# Calculated total energy (eV/atom): -11.39
# Energy above the most stable polymorph in this dataset (kJ/mol of atoms): 0.87
# N(E_F) (states/eV per atom): 1.163
# Space-group type: I4/mmm

=====

(13)
# CrTc2Os PBEsol optimized geometry
data_CrTc2Os
_cell_length_a 2.683
_cell_length_b 4.055
_cell_length_c 5.116
_cell_angle_alpha 90.00
_cell_angle_beta 105.23
_cell_angle_gamma 90.00
_space_group_name_H-M_alt 'P 1'
_space_group_IT_number 1
loop_
_space_group_symop_operation_xyz
'x,y,z'
loop_
_atom_site_label
_atom_site_type_symbol
_atom_site_fract_x
_atom_site_fract_y
_atom_site_fract_z
Cr1 Cr 0.000 0.000 0.000
Tc1 Tc 0.255 0.000 0.503
Tc2 Tc 0.879 0.500 0.752
Os1 Os 0.614 0.500 0.223
# Calculated formation energy (eV per formula unit): 0.43
# Calculated total energy (eV/atom): -11.14
# Energy above the most stable polymorph in this dataset (kJ/mol of atoms): 0.00
# N(E_F) (states/eV per atom): 0.965
# Space-group type: Pm

=====

(14)
# Cr4TcOs PBEsol optimized geometry
data_Cr4TcOs
_cell_length_a 4.673
_cell_length_b 4.673
_cell_length_c 4.673
_cell_angle_alpha 60.00
_cell_angle_beta 60.00
_cell_angle_gamma 60.00
_space_group_name_H-M_alt 'P 1'
_space_group_IT_number 1
loop_
_space_group_symop_operation_xyz
'x,y,z'
loop_
_atom_site_label
_atom_site_type_symbol
_atom_site_fract_x
_atom_site_fract_y
_atom_site_fract_z
Cr1 Cr 0.125 0.125 0.125
Cr2 Cr 0.125 0.125 0.626
Cr3 Cr 0.125 0.626 0.125
Cr4 Cr 0.626 0.125 0.125
Tc1 Tc 0.750 0.750 0.750
Os1 Os 0.500 0.500 0.500
# Calculated formation energy (eV per formula unit): 0.07
# Calculated total energy (eV/atom): -10.73
# N(E_F) (states/eV per atom): 1.046
# Space-group type: F-43m

=====

(15)
# Cr2TeOs PBEsol optimized geometry
data_Cr2TeOs
_cell_length_a 2.946
_cell_length_b 3.654
_cell_length_c 5.554
_cell_angle_alpha 90.00
_cell_angle_beta 90.00
_cell_angle_gamma 90.00
_space_group_name_H-M_alt 'P 1'
_space_group_IT_number 1
loop_
_space_group_symop_operation_xyz
'x,y,z'
loop_
_atom_site_label
_atom_site_type_symbol
_atom_site_fract_x
_atom_site_fract_y
_atom_site_fract_z
Cr1 Cr 0.000 0.000 0.224
Cr2 Cr 0.000 0.000 0.776
Te1 Te 0.500 0.500 0.500
Os1 Os 0.500 0.500 0.000
# Formation energy without anion corrections (eV/f.u.): 2.168
# Calculated total energy (eV/atom): -8.51
# N(E_F) (states/eV per atom): 1.181
# Space-group type: Pmmm